1.
Material: CsAgPt2
Method: DFT, PBE
State: relaxed

Energy ... -29.48 eV for the cell shown

Cell: 4.9998 4.9998 10.2037 Å, 75.82 75.82 90.00°
Atoms (fractional coordinates):
Cs 0.0000 0.0000 0.0000
Cs 0.7500 0.2500 0.5000
Ag 0.5000 0.5000 0.0000
Ag 0.2500 0.7500 0.5000
Pt 0.4321 0.1250 0.2500
Pt 0.3179 0.6250 0.2500
Pt 0.3750 0.5679 0.7500
Pt 0.8750 0.6821 0.7500

2.
Material: CsAgPt3
Method: DFT, PBE
State: relaxed

Energy ... -16.89 eV for the cell shown

Cell: 5.0918 5.0918 5.0918 Å, 90.00 90.00 90.00°
Atoms (fractional coordinates):
Cs 0.5000 0.5000 0.5000
Ag 0.0000 0.0000 0.0000
Pt 0.0000 0.5000 0.0000
Pt 0.0000 0.0000 0.5000
Pt 0.5000 0.0000 0.0000

3.
Material: CsAgPt2
Method: DFT, PBE
State: relaxed

Energy ... -12.61 eV for the cell shown

Cell: 4.9720 4.9720 4.9720 Å, 60.00 60.00 60.00°
Atoms (fractional coordinates):
Cs 0.5000 0.5000 0.5000
Ag 0.0000 0.0000 0.0000
Pt 0.2500 0.2500 0.2500
Pt 0.7500 0.7500 0.7500

4.
Material: CsAg2Pt
Method: DFT, PBE
State: relaxed

Energy ... -10.29 eV for the cell shown

Cell: 5.1605 5.1605 5.1605 Å, 60.00 60.00 60.00°
Atoms (fractional coordinates):
Cs 0.0000 0.0000 0.0000
Ag 0.2500 0.2500 0.2500
Ag 0.7500 0.7500 0.7500
Pt 0.5000 0.5000 0.5000

5.
Material: CsAg2Pt2
Method: DFT, PBE
State: relaxed

Energy ... -16.99 eV for the cell shown

Cell: 4.2231 4.2231 7.2290 Å, 73.02 73.02 90.00°
Atoms (fractional coordinates):
Cs 0.0000 0.0000 0.0000
Ag 0.3848 0.3848 0.2304
Ag 0.6152 0.6152 0.7696
Pt 0.7500 0.2500 0.5000
Pt 0.2500 0.7500 0.5000

6.
Material: CsAg2Pt2
Method: DFT, PBE
State: relaxed

Energy ... -34.55 eV for the cell shown

Cell: 8.5383 8.5383 2.9739 Å, 90.00 90.00 90.00°
Atoms (fractional coordinates):
Cs 0.0000 0.0000 0.0000
Cs 0.5000 0.5000 0.0000
Ag 0.3761 0.8761 0.0000
Ag 0.8761 0.6239 0.0000
Ag 0.6239 0.1239 0.0000
Ag 0.1239 0.3761 0.0000
Pt 0.1668 0.6668 0.5000
Pt 0.6668 0.8332 0.5000
Pt 0.8332 0.3332 0.5000
Pt 0.3332 0.1668 0.5000

7.
Material: Cs3AgPt
Method: DFT, PBE
State: relaxed

Energy ... -11.20 eV for the cell shown

Cell: 6.6208 6.6208 6.6208 Å, 90.00 90.00 90.00°
Atoms (fractional coordinates):
Cs 0.0000 0.5000 0.0000
Cs 0.0000 0.0000 0.5000
Cs 0.5000 0.0000 0.0000
Ag 0.5000 0.5000 0.5000
Pt 0.0000 0.0000 0.0000

8.
Material: CsAg2Pt
Method: DFT, PBE
State: relaxed

Energy ... -12.55 eV for the cell shown

Cell: 4.7452 4.7452 6.8834 Å, 69.84 69.84 60.00°
Atoms (fractional coordinates):
Cs 0.5000 0.5000 0.5000
Ag 0.3192 0.3192 0.0425
Ag 0.6808 0.6808 0.9575
Pt 0.0000 0.0000 0.0000

9.
Material: CsAgPt2
Method: DFT, PBE
State: relaxed

Energy ... -32.08 eV for the cell shown

Cell: 4.5924 6.7898 7.9008 Å, 90.00 90.00 109.78°
Atoms (fractional coordinates):
Cs 0.4627 0.9268 0.7500
Cs 0.5373 0.0732 0.2500
Ag 0.8075 0.6151 0.2500
Ag 0.1925 0.3849 0.7500
Pt 0.2536 0.5072 0.4174
Pt 0.7464 0.4928 0.5826
Pt 0.2536 0.5072 0.0826
Pt 0.7464 0.4928 0.9174

10.
Material: Cs2AgPt
Method: DFT, PBE
State: relaxed

Energy ... -9.11 eV for the cell shown

Cell: 5.9925 5.9925 5.9925 Å, 60.00 60.00 60.00°
Atoms (fractional coordinates):
Cs 0.2500 0.2500 0.2500
Cs 0.7500 0.7500 0.7500
Ag 0.0000 0.0000 0.0000
Pt 0.5000 0.5000 0.5000

11.
Material: CsAgPt3
Method: DFT, PBE
State: relaxed

Energy ... -11.71 eV for the cell shown

Cell: 5.2180 5.2180 5.2180 Å, 90.00 90.00 90.00°
Atoms (fractional coordinates):
Cs 0.0000 0.0000 0.0000
Ag 0.5000 0.5000 0.5000
Pt 0.0000 0.5000 0.0000
Pt 0.0000 0.0000 0.5000
Pt 0.5000 0.0000 0.0000

12.
Material: CsAg3Pt
Method: DFT, PBE
State: relaxed

Energy ... -6.25 eV for the cell shown

Cell: 5.7126 5.7126 5.7126 Å, 90.00 90.00 90.00°
Atoms (fractional coordinates):
Cs 0.0000 0.0000 0.0000
Ag 0.0000 0.5000 0.0000
Ag 0.0000 0.0000 0.5000
Ag 0.5000 0.0000 0.0000
Pt 0.5000 0.5000 0.5000

no.,ΔE_f (eV per atom)
1,0.26
2,0.99
3,0.79
4,0.58
5,0.33
6,0.27
7,0.05
8,0.01
9,-0.06
10,0.37
11,2.02
12,1.84